Entry 1:
Density functional theory data (PBE-GGA) for EuSb after structural relaxation.

Properties
V   31.9 Å³/atom
Crystal system   orthorhombic
Formation energy (no corrections)   -0.8985 eV/atom

Geometry as POSCAR:
```
EuSb
1.0
4.529 0.000 -0.013
0.000 4.655 0.000
-2.250 0.000 6.057
Eu Sb
2 2
Cartesian
0.010 3.491 4.517
2.269 1.164 1.527
2.275 1.164 4.801
0.004 3.491 1.243
```


Entry 2:
Density functional theory data (PBE-GGA) for EuSb2 after structural relaxation.

Properties
V   31.0 Å³/atom
Crystal system   cubic
Formation energy (no corrections)   -0.4125 eV/atom

Geometry as POSCAR:
```
EuSb2
1.0
-4.682 -0.282 4.364
-1.789 -5.656 2.419
1.376 -1.462 6.084
Eu Sb
2 4
Cartesian
0.000 0.000 0.000
-1.274 -1.850 3.217
-2.290 -1.797 6.832
-3.184 -4.625 8.042
-0.843 -4.484 5.860
-3.872 -3.894 5.000
```


Entry 3:
Density functional theory data (PBE-GGA) for EuSb3 after structural relaxation.

Properties
V   28.1 Å³/atom
Crystal system   tetragonal
Formation energy (no corrections)   -0.4720 eV/atom

Geometry as POSCAR:
```
EuSb3
1.0
4.820 0.000 0.000
0.000 4.831 0.000
0.000 0.000 4.825
Sb Eu
3 1
Cartesian
2.410 2.415 4.422
2.410 0.000 2.010
0.000 0.000 4.423
0.000 2.415 2.011
```


Entry 4:
Density functional theory data (PBE-GGA) for EuScSb2 after structural relaxation.

Properties
V   26.8 Å³/atom
Crystal system   tetragonal
Formation energy (no corrections)   -0.7463 eV/atom

Geometry as POSCAR:
```
EuScSb2
1.0
3.634 0.000 0.000
0.000 3.634 0.000
0.000 0.000 8.131
Sb Eu Sc
2 1 1
Cartesian
0.000 0.000 1.811
0.000 0.000 6.320
1.817 1.817 4.066
1.817 1.817 0.000
```


Entry 5:
Density functional theory data (PBE-GGA) for EuScSb2 after structural relaxation.

Properties
V   29.5 Å³/atom
Crystal system   trigonal
Formation energy (no corrections)   -0.9078 eV/atom

Geometry as POSCAR:
```
EuScSb2
1.0
4.349 0.000 0.000
2.174 3.766 0.000
2.174 1.255 7.214
Sb Sc Eu
2 1 1
Cartesian
2.174 1.255 1.589
6.523 3.766 5.625
0.000 0.000 0.000
4.349 2.511 3.607
```


Entry 6:
Density functional theory data (PBE-GGA) for EuSb2Se4 after structural relaxation.

Properties
V   28.4 Å³/atom
Crystal system   orthorhombic
Formation energy (no corrections)   -0.7344 eV/atom

Geometry as POSCAR:
```
EuSb2Se4
1.0
-2.332 1.595 -3.008
-6.420 -10.990 -0.848
-9.858 4.966 10.277
Se Eu Sb
16 4 8
Cartesian
-6.990 2.099 2.287
-9.202 0.399 5.932
-8.243 -8.286 -2.247
-12.395 0.974 8.713
-11.621 -6.529 4.135
-4.730 -0.073 -0.617
-9.125 4.226 5.070
-13.881 -4.356 7.039
-8.487 -1.051 1.777
-6.216 -5.403 -2.291
-12.990 -0.940 5.328
-10.124 -3.378 4.644
-9.409 -4.829 0.490
-5.621 -3.490 1.093
-10.368 3.857 8.669
-9.486 -8.655 1.352
-6.992 -6.823 0.390
-5.326 -0.550 2.423
-13.285 -3.880 3.998
-11.619 2.393 6.032
-11.608 -6.858 1.119
-13.248 -1.538 8.042
-10.646 -0.668 3.654
-7.003 2.429 5.302
-16.579 -4.791 6.069
-7.965 -3.761 2.767
-2.032 0.362 0.352
-5.363 -2.892 -1.621
```


Number 1: calculated total energy -8.097 eV per atom. Number 2: calculated total energy -6.586 eV per atom. Number 3: calculated total energy -6.132 eV per atom. Number 4: calculated total energy -6.959 eV per atom. Number 5: calculated total energy -7.120 eV per atom. Number 6: calculated total energy -5.371 eV per atom.